1.
A plane-wave DFT calculation with PBE was carried out for crystalline TmFeCoSi2 at its relaxed geometry.

Lattice parameters (Å, degrees): 3.9015 3.9015 5.4997 110.78 110.78 90.00
Closest atoms and distances in Å follow each position.
Sites, in units of the cell vectors:
Tm 0.0000 0.0000 0.0000  8 Si 3.02, 4 Fe 3.08, 4 Co 3.08
Fe 0.7500 0.2500 0.5000  4 Si 2.26
Co 0.2500 0.7500 0.5000  4 Si 2.26
Si 0.6304 0.6304 0.2608  2 Fe 2.26, 2 Co 2.26, 1 Si 2.48
Si 0.3696 0.3696 0.7392  2 Fe 2.26, 2 Co 2.26, 1 Si 2.48

Raw formation energy ... -0.77 eV per atom
Total magnetization ... 0.000 μB per cell

---

2.
A plane-wave DFT calculation with PBE was carried out for crystalline RbCrCl3 at its relaxed geometry.

Lattice parameters (Å, degrees): 5.0117 5.0117 5.0117 90.00 90.00 90.00
Closest atoms and distances in Å follow each position.
Sites, in units of the cell vectors:
Cr 0.0000 0.0000 0.0000  6 Cl 2.51
Rb 0.5000 0.5000 0.5000  12 Cl 3.54
Cl 0.0000 0.5000 0.0000  2 Cr 2.51
Cl 0.0000 0.0000 0.5000  2 Cr 2.51
Cl 0.5000 0.0000 0.0000  2 Cr 2.51

Raw formation energy ... -1.39 eV per atom
Total magnetization ... 4.000 μB per cell

---

3.
A plane-wave DFT calculation with PBE was carried out for crystalline ReBAs at its relaxed geometry.

Lattice parameters (Å, degrees): 2.9165 5.4662 6.4103 53.93 90.00 90.00
Closest atoms and distances in Å follow each position.
Sites, in units of the cell vectors:
Re 0.5000 0.5007 0.2054  4 B 2.26
Re 0.5000 0.4993 0.7946  4 B 2.26
B 0.0000 0.2477 0.1263  2 As 2.14, 1 B 2.23, 4 Re 2.26
B 0.0000 0.7523 0.8737  2 As 2.14, 1 B 2.23, 4 Re 2.26
As 0.5000 0.1078 0.6964  2 B 2.14
As 0.5000 0.8922 0.3036  2 B 2.14

Formation energy from the elements ... 1.08 eV per formula unit
Total magnetization ... 0.000 μB per cell

---

4.
A plane-wave DFT calculation with PBE was carried out for crystalline K3AgSn3S8 at its relaxed geometry.

Lattice parameters (Å, degrees): 7.7081 7.7189 8.6839 116.43 90.00 119.95
Closest atoms and distances in Å follow each position.
Sites, in units of the cell vectors:
K 0.0000 0.0000 0.0000  6 S 3.13-3.25
K 0.0000 0.5000 0.0000  6 S 3.13-3.25
K 0.5000 0.5000 0.0000  6 S 3.13-3.25
Ag 0.0000 0.0000 0.5000  6 S 2.74-2.75
Sn 0.5000 0.0000 0.5000  6 S 2.59-2.70
Sn 0.5000 0.5000 0.5000  6 S 2.59-2.70
Sn 0.0000 0.5000 0.5000  6 S 2.59-2.70
S 0.2653 0.5306 0.2960  3 Sn 2.70
S 0.7347 0.4694 0.7040  3 Sn 2.70
S 0.7600 0.5200 0.3096  2 Sn 2.59, 1 Ag 2.75
S 0.2400 0.4800 0.6904  2 Sn 2.59, 1 Ag 2.75
S 0.7609 0.0488 0.3103  2 Sn 2.59, 1 Ag 2.74
S 0.2391 0.9512 0.6897  2 Sn 2.59, 1 Ag 2.74
S 0.2879 0.0488 0.3103  2 Sn 2.59, 1 Ag 2.74
S 0.7121 0.9512 0.6897  2 Sn 2.59, 1 Ag 2.74

Raw formation energy ... -0.60 eV per atom
Total magnetization ... 0.000 μB per cell

---

5.
A plane-wave DFT calculation with PBE was carried out for crystalline CuNiAg2 at its relaxed geometry.

Lattice parameters (Å, degrees): 8.9825 8.9825 8.9825 17.78 17.78 17.78
Closest atoms and distances in Å follow each position.
Sites, in units of the cell vectors:
Ag 0.0009 0.0009 0.0009  3 Ni 2.71, 3 Cu 2.75, 6 Ag 2.78
Ag 0.4991 0.4991 0.4991  3 Ni 2.71, 3 Cu 2.75, 6 Ag 2.78
Cu 0.2500 0.2500 0.2500  6 Ag 2.75, 6 Cu 2.78
Ni 0.7500 0.7500 0.7500  6 Ag 2.71, 6 Ni 2.78

Formation energy from the elements ... 0.92 eV per formula unit
ΔE to the lowest computed polymorph ... 99 meV per atom
Total magnetization ... 0.000 μB per cell

---

6.
A plane-wave DFT calculation with PBE was carried out for crystalline Ca5In4Au at its relaxed geometry.

Lattice parameters (Å, degrees): 3.8250 3.8250 18.9503 90.00 90.00 90.00
Closest atoms and distances in Å follow each position.
Sites, in units of the cell vectors:
Ca 0.5000 0.5000 0.0906  4 Au 3.20, 4 In 3.36, 1 Ca 3.43
Ca 0.5000 0.5000 0.2958  8 In 3.30-3.31
Ca 0.5000 0.5000 0.5000  8 In 3.34
Ca 0.5000 0.5000 0.7042  8 In 3.30-3.31
Ca 0.5000 0.5000 0.9094  4 Au 3.20, 4 In 3.36, 1 Ca 3.43
In 0.0000 0.0000 0.1956  8 Ca 3.30-3.36
In 0.0000 0.0000 0.3968  8 Ca 3.31-3.34
In 0.0000 0.0000 0.6032  8 Ca 3.31-3.34
In 0.0000 0.0000 0.8044  8 Ca 3.30-3.36
Au 0.0000 0.0000 0.0000  8 Ca 3.20

Formation energy from the elements ... -5.19 eV per formula unit
Total magnetization ... 0.000 μB per cell

---

7.
A plane-wave DFT calculation with PBE was carried out for crystalline YTe2RhN at its relaxed geometry.

Lattice parameters (Å, degrees): 5.9067 5.9067 3.9908 90.00 90.00 90.00
Closest atoms and distances in Å follow each position.
Sites, in units of the cell vectors:
Y 0.0000 0.0000 0.0000  2 N 2.00
Te 0.0000 0.5000 0.0000  2 Y 2.95
Te 0.5000 0.0000 0.0000  2 Y 2.95
Rh 0.5000 0.5000 0.5000  8 Te 3.56, 2 Rh 3.99
N 0.0000 0.0000 0.5000  2 Y 2.00

Raw formation energy ... 0.77 eV per atom
ΔE to the lowest computed polymorph ... 988 meV per atom
Total magnetization ... 0.986 μB per cell

---

8.
A plane-wave DFT calculation with PBE was carried out for crystalline NiOsSeN2 at its relaxed geometry.

Lattice parameters (Å, degrees): 3.6226 3.6226 5.1111 90.00 90.00 90.00
Closest atoms and distances in Å follow each position.
Sites, in units of the cell vectors:
Ni 0.0000 0.0000 0.0000  4 N 1.81
Os 0.5000 0.5000 0.5000  4 Se 2.56
Se 0.0000 0.0000 0.5000  2 Ni 2.56, 4 Os 2.56
N 0.0000 0.5000 0.0000  2 Ni 1.81
N 0.5000 0.0000 0.0000  2 Ni 1.81

Raw formation energy ... 1.75 eV per atom
ΔE to the lowest computed polymorph ... 996 meV per atom
Total magnetization ... 0.917 μB per cell

---

9.
A plane-wave DFT calculation with PBE was carried out for crystalline Ac3Cu2 at its relaxed geometry.

Lattice parameters (Å, degrees): 8.0649 8.0649 7.8051 58.89 58.89 60.00
Closest atoms and distances in Å follow each position.
Sites, in units of the cell vectors:
Ac 0.0532 0.7500 0.7500  4 Cu 3.05-3.14
Ac 0.7500 0.4468 0.7500  4 Cu 3.05-3.14
Ac 0.4468 0.0532 0.7500  4 Cu 3.05-3.14
Ac 0.2500 0.5532 0.2500  4 Cu 3.05-3.14
Ac 0.5532 0.9468 0.2500  4 Cu 3.05-3.14
Ac 0.9468 0.2500 0.2500  4 Cu 3.05-3.14
Cu 0.8546 0.8546 0.4363  6 Ac 3.05-3.14
Cu 0.3546 0.3546 0.9363  6 Ac 3.05-3.14
Cu 0.1454 0.1454 0.5637  6 Ac 3.05-3.14
Cu 0.6454 0.6454 0.0637  6 Ac 3.05-3.14

Formation energy from the elements ... 0.25 eV per formula unit
ΔE to the lowest computed polymorph ... 98 meV per atom
Total magnetization ... 0.000 μB per cell

---

10.
A plane-wave DFT calculation with PBE was carried out for crystalline Eu2BiF at its relaxed geometry.

Lattice parameters (Å, degrees): 3.7593 3.7593 7.7347 90.00 90.00 90.00
Closest atoms and distances in Å follow each position.
Sites, in units of the cell vectors:
Eu 0.0000 0.0000 0.7657  4 F 3.22, 4 Bi 3.36
Eu 0.0000 0.0000 0.2343  4 F 3.22, 4 Bi 3.36
Bi 0.5000 0.5000 0.5000  8 Eu 3.36, 4 Bi 3.76
F 0.5000 0.5000 0.0000  8 Eu 3.22

Raw formation energy ... -1.39 eV per atom
ΔE to the lowest computed polymorph ... 251 meV per atom
Total magnetization ... 14.490 μB per cell

---

11.
A plane-wave DFT calculation with PBE was carried out for crystalline LiYAsSe2 at its relaxed geometry.

Lattice parameters (Å, degrees): 5.4971 5.4971 5.5169 90.00 90.00 90.00
Closest atoms and distances in Å follow each position.
Sites, in units of the cell vectors:
Y 0.0000 0.0000 0.0000  4 Se 2.75, 2 As 2.76
As 0.0000 0.0000 0.5000  2 Y 2.76
Se 0.0000 0.5000 0.0000  2 Y 2.75
Se 0.5000 0.0000 0.0000  2 Y 2.75
Li 0.5000 0.5000 0.5000  4 As 3.89, 8 Se 3.89

Raw formation energy ... -0.41 eV per atom
ΔE to the lowest computed polymorph ... 108 meV per atom
Total magnetization ... 1.117 μB per cell

---

Calculated total energy
In order: -6.95; -4.61; -7.57; -4.01; -3.67; -2.94; -4.92; -5.68; -4.05; -7.97; -4.41
Unit: eV per atom